(1)
Density functional theory data (GGA-PBE) for Na2In6Hg after structural relaxation.

Computed properties:
As for the space group: C2/m. For the energy, the calculation gives -2.218 eV per atom. As for the density: 6.3 g cm⁻³. The calculation puts the spin magnetization at 0.00 μB/f.u.

Unit cell a=8.1275 b=8.1275 c=5.8922 alpha=104.67 beta=104.67 gamma=40.76
With the nearest neighbours (Å) after each atom.
Element x y z (fractional)
Na (0.0605, 0.0605, 0.2932)  2 Hg 3.31, 6 In 3.36-3.54, 2 Na 3.43-3.45
Na (0.9395, 0.9395, 0.7068)  2 Hg 3.31, 6 In 3.36-3.54, 2 Na 3.43-3.45
In (0.1807, 0.1807, 0.8795)  7 In 3.16-3.47, 2 Na 3.42-3.45
In (0.2896, 0.2896, 0.4335)  1 Hg 3.12, 8 In 3.22-3.47, 1 Na 3.36
In (0.3952, 0.3952, 0.9855)  1 Hg 3.02, 5 In 3.15-3.24
In (0.6048, 0.6048, 0.0145)  1 Hg 3.02, 5 In 3.15-3.24
In (0.7104, 0.7104, 0.5665)  1 Hg 3.12, 8 In 3.22-3.47, 1 Na 3.36
In (0.8193, 0.8193, 0.1205)  7 In 3.16-3.47, 2 Na 3.42-3.45
Hg (0.5000, 0.5000, 0.5000)  4 In 3.02-3.12, 4 Na 3.31


(2)
Density functional theory data (GGA-PBE) for NaIn5Hg12 after structural relaxation.

Computed properties:
As for the space group: C2/m. For the energy, the calculation gives -1.059 eV per atom. As for the density: 10.5 g cm⁻³. The calculation puts the spin magnetization at 0.00 μB/f.u.

Unit cell a=6.1650 b=6.1650 c=15.3925 alpha=92.42 beta=92.42 gamma=124.98
With the nearest neighbours (Å) after each atom.
Element x y z (fractional)
Na (0.0000, 0.0000, 0.0000)  6 Hg 3.21-3.31, 6 In 3.46-3.49
In (0.1732, 0.8268, 0.5000)  6 Hg 3.16-3.45, 4 In 3.31-3.42
In (0.3160, 0.6840, 0.0000)  6 Hg 3.19-3.50, 2 In 3.19, 3 Na 3.46-3.49
In (0.5000, 0.5000, 0.5000)  6 Hg 3.23-3.39, 6 In 3.42-3.57
In (0.6840, 0.3160, 0.0000)  6 Hg 3.19-3.50, 2 In 3.19, 3 Na 3.46-3.49
In (0.8268, 0.1732, 0.5000)  6 Hg 3.16-3.45, 4 In 3.31-3.42
Hg (0.0193, 0.7002, 0.8280)  8 Hg 3.16-3.49, 2 In 3.19-3.50, 1 Na 3.21
Hg (0.0538, 0.0538, 0.3385)  3 In 3.16-3.39, 7 Hg 3.18-3.49
Hg (0.2742, 0.6012, 0.6707)  7 Hg 3.16-3.42, 3 In 3.22-3.45
Hg (0.2998, 0.9807, 0.1720)  8 Hg 3.16-3.49, 2 In 3.19-3.50, 1 Na 3.21
Hg (0.3610, 0.3610, 0.8431)  2 In 3.19, 7 Hg 3.26-3.49, 1 Na 3.31
Hg (0.3988, 0.7258, 0.3293)  7 Hg 3.16-3.42, 3 In 3.22-3.45
Hg (0.6012, 0.2742, 0.6707)  7 Hg 3.16-3.42, 3 In 3.22-3.45
Hg (0.6390, 0.6390, 0.1569)  2 In 3.19, 7 Hg 3.26-3.49, 1 Na 3.31
Hg (0.7002, 0.0193, 0.8280)  8 Hg 3.16-3.49, 2 In 3.19-3.50, 1 Na 3.21
Hg (0.7258, 0.3988, 0.3293)  7 Hg 3.16-3.42, 3 In 3.22-3.45
Hg (0.9462, 0.9462, 0.6615)  3 In 3.16-3.39, 7 Hg 3.18-3.49
Hg (0.9807, 0.2998, 0.1720)  8 Hg 3.16-3.49, 2 In 3.19-3.50, 1 Na 3.21


(3)
Density functional theory data (GGA-PBE) for Na9In4Hg after structural relaxation.

Computed properties:
As for the space group: P6_3/mmc. For the energy, the calculation gives -1.767 eV per atom. As for the density: 3.3 g cm⁻³. The calculation puts the spin magnetization at 0.00 μB/f.u.

Unit cell a=9.9808 b=9.9808 c=9.9975 alpha=90.00 beta=90.00 gamma=120.00
With the nearest neighbours (Å) after each atom.
Element x y z (fractional)
Na (0.0714, 0.5357, 0.2500)  2 In 3.34, 1 Hg 3.50, 4 Na 3.66
Na (0.1952, 0.3904, 0.5548)  1 Hg 3.08, 2 In 3.38-3.42
Na (0.1952, 0.3904, 0.9452)  1 Hg 3.08, 2 In 3.38-3.42
Na (0.1952, 0.8048, 0.5548)  1 Hg 3.08, 2 In 3.38-3.42
Na (0.1952, 0.8048, 0.9452)  1 Hg 3.08, 2 In 3.38-3.42
Na (0.3904, 0.1952, 0.0548)  1 Hg 3.08, 2 In 3.38-3.42
Na (0.3904, 0.1952, 0.4452)  1 Hg 3.08, 2 In 3.38-3.42
Na (0.4643, 0.5357, 0.2500)  2 In 3.34, 1 Hg 3.50, 4 Na 3.66
Na (0.4643, 0.9286, 0.2500)  2 In 3.34, 1 Hg 3.50, 4 Na 3.66
Na (0.5357, 0.0714, 0.7500)  2 In 3.34, 1 Hg 3.50, 4 Na 3.66
Na (0.5357, 0.4643, 0.7500)  2 In 3.34, 1 Hg 3.50, 4 Na 3.66
Na (0.6096, 0.8048, 0.5548)  1 Hg 3.08, 2 In 3.38-3.42
Na (0.6096, 0.8048, 0.9452)  1 Hg 3.08, 2 In 3.38-3.42
Na (0.8048, 0.1952, 0.0548)  1 Hg 3.08, 2 In 3.38-3.42
Na (0.8048, 0.1952, 0.4452)  1 Hg 3.08, 2 In 3.38-3.42
Na (0.8048, 0.6096, 0.0548)  1 Hg 3.08, 2 In 3.38-3.42
Na (0.8048, 0.6096, 0.4452)  1 Hg 3.08, 2 In 3.38-3.42
Na (0.9286, 0.4643, 0.7500)  2 In 3.34, 1 Hg 3.50, 4 Na 3.66
In (0.0000, 0.0000, 0.0000)  6 In 3.15, 6 Na 3.42
In (0.0000, 0.0000, 0.5000)  6 In 3.15, 6 Na 3.42
In (0.1111, 0.2223, 0.2500)  4 In 3.15-3.33, 8 Na 3.34-3.52
In (0.1111, 0.8889, 0.2500)  4 In 3.15-3.33, 8 Na 3.34-3.52
In (0.2223, 0.1111, 0.7500)  4 In 3.15-3.33, 8 Na 3.34-3.52
In (0.7777, 0.8889, 0.2500)  4 In 3.15-3.33, 8 Na 3.34-3.52
In (0.8889, 0.1111, 0.7500)  4 In 3.15-3.33, 8 Na 3.34-3.52
In (0.8889, 0.7777, 0.7500)  4 In 3.15-3.33, 8 Na 3.34-3.52
Hg (0.3333, 0.6667, 0.7500)  6 Na 3.08
Hg (0.6667, 0.3333, 0.2500)  6 Na 3.08


(4)
Density functional theory data (GGA-PBE) for NaIn3Hg3 after structural relaxation.

Computed properties:
As for the space group: Pm-3n. For the energy, the calculation gives -1.337 eV per atom. As for the density: 6.1 g cm⁻³. The calculation puts the spin magnetization at 0.00 μB/f.u.

Unit cell a=8.0866 b=8.0866 c=8.0866 alpha=90.00 beta=90.00 gamma=90.00
With the nearest neighbours (Å) after each atom.
Element x y z (fractional)
Na (0.0000, 0.0000, 0.0000)  12 Hg 4.52, 12 In 4.52
Na (0.5000, 0.5000, 0.5000)  12 Hg 4.52, 12 In 4.52
In (0.0000, 0.2500, 0.5000)  4 Hg 2.86
In (0.0000, 0.7500, 0.5000)  4 Hg 2.86
In (0.2500, 0.5000, 0.0000)  4 Hg 2.86
In (0.5000, 0.0000, 0.2500)  4 Hg 2.86
In (0.5000, 0.0000, 0.7500)  4 Hg 2.86
In (0.7500, 0.5000, 0.0000)  4 Hg 2.86
Hg (0.0000, 0.5000, 0.2500)  4 In 2.86
Hg (0.0000, 0.5000, 0.7500)  4 In 2.86
Hg (0.2500, 0.0000, 0.5000)  4 In 2.86
Hg (0.5000, 0.2500, 0.0000)  4 In 2.86
Hg (0.5000, 0.7500, 0.0000)  4 In 2.86
Hg (0.7500, 0.0000, 0.5000)  4 In 2.86